First-principles (GGA-PBEsol) data for a relaxed SnH8N2Cl6 crystal, as listed in Alexandria via LeMat-Bulk.

N(E_F) = 0.0 states/eV/f.u.
Calculated total energy = -4.282 eV per atom

Cell: 9.9118 9.9118 9.9118 Å, 90.00 90.00 90.00°
With the nearest neighbours (Å) after each atom.
Space group Fm-3m (No. 225)
Symmetry-distinct sites (fractional):
Sn (0.0000, 0.0000, 0.0000) (multiplicity 4)  6 Cl 2.45
H (0.1895, 0.1895, 0.3105) (multiplicity 32)  1 N 1.04
N (0.2500, 0.2500, 0.2500) (multiplicity 8)  4 H 1.04
Cl (0.0000, 0.0000, 0.2467) (multiplicity 24)  1 Sn 2.45, 4 H 2.73